--- A ---
# CePaOs

A relaxed structure of CePaOs (GGA-PBE, Alexandria).

Summary:
* crystal system: triclinic
* density of states at the Fermi level: 1.598 states/eV/atom

Lattice parameters (Å, degrees): 3.706 5.826 7.116 78.68 74.95 71.48
Space group P-1 (No. 2)
Unique sites:
Ce1 0.162 0.242 0.437 (multiplicity 2)
Pa1 0.429 0.291 0.852 (multiplicity 2)
Os1 0.157 0.829 0.857 (multiplicity 2)



--- B ---
# CePaOs

A relaxed structure of CePaOs (GGA-PBE, Alexandria).

Summary:
* crystal system: tetragonal
* density of states at the Fermi level: 1.571 states/eV/atom

Lattice parameters (Å, degrees): 3.588 3.588 10.196 90.00 90.00 90.00
Space group I4mm (No. 107)
Unique sites:
Ce1 0.000 0.000 0.000 (multiplicity 2)
Pa1 0.000 0.000 0.689 (multiplicity 2)
Os1 0.000 0.000 0.323 (multiplicity 2)



Relative calculated energies, zero for the most stable structure, unit eV/atom: A 0.000; B 0.027.



--- A ---
# CePaOs

A relaxed structure of CePaOs (GGA-PBE, Alexandria).

Summary:
* crystal system: monoclinic
* density of states at the Fermi level: 1.487 states/eV/atom

Lattice parameters (Å, degrees): 5.569 4.660 5.579 90.00 107.23 90.00
Space group P2_1/m (No. 11)
Unique sites:
Ce1 0.227 0.250 0.066 (multiplicity 2)
Pa1 0.169 0.750 0.565 (multiplicity 2)
Os1 0.458 0.250 0.668 (multiplicity 2)



--- B ---
# CePaOs

A relaxed structure of CePaOs (GGA-PBE, Alexandria).

Summary:
* crystal system: trigonal
* density of states at the Fermi level: 1.303 states/eV/atom

Lattice parameters (Å, degrees): 4.4477 4.4477 3.9111 90.00 90.00 120.00
Space group P3m1 (No. 156)
Unique sites:
Ce1 0.0000 0.0000 0.0000 (multiplicity 1)
Pa1 0.3333 0.6667 0.6388 (multiplicity 1)
Os1 0.6667 0.3333 0.3420 (multiplicity 1)



Relative calculated energies, zero for the most stable structure, unit eV/atom: A 0.000; B 0.068.



--- A ---
# CePaOs

A relaxed structure of CePaOs (GGA-PBE, Alexandria).

Summary:
* crystal system: cubic
* density of states at the Fermi level: 2.583 states/eV/atom

Lattice parameters (Å, degrees): 6.755 6.755 6.755 90.00 90.00 90.00
Space group F-43m (No. 216)
Unique sites:
Ce1 0.000 0.000 0.000 (multiplicity 4)
Pa1 0.000 0.000 0.500 (multiplicity 4)
Os1 0.250 0.250 0.750 (multiplicity 4)



--- B ---
# CePaOs

A relaxed structure of CePaOs (GGA-PBE, Alexandria).

Summary:
* crystal system: monoclinic
* density of states at the Fermi level: 1.945 states/eV/atom

Lattice parameters (Å, degrees): 12.712 3.392 6.805 90.00 111.25 90.00
Space group C2/m (No. 12)
Unique sites:
Ce1 0.149 0.000 0.096 (multiplicity 4)
Pa1 0.142 0.000 0.518 (multiplicity 4)
Os1 0.046 0.500 0.735 (multiplicity 4)



Relative calculated energies, zero for the most stable structure, unit eV/atom: A 0.140; B 0.000.



--- A ---
# Ce2PaOs

A relaxed structure of Ce2PaOs (GGA-PBE, Alexandria).

Summary:
* crystal system: tetragonal
* density of states at the Fermi level: 1.263 states/eV/atom

Lattice parameters (Å, degrees): 3.439 3.439 7.805 90.00 90.00 90.00
Space group P4/mmm (No. 123)
Unique sites:
Ce1 0.000 0.000 0.222 (multiplicity 2)
Pa1 0.500 0.500 0.500 (multiplicity 1)
Os1 0.500 0.500 0.000 (multiplicity 1)



--- B ---
# Ce2PaOs

A relaxed structure of Ce2PaOs (GGA-PBE, Alexandria).

Summary:
* crystal system: trigonal
* density of states at the Fermi level: 1.709 states/eV/atom

Lattice parameters (Å, degrees): 3.0690 3.0690 32.0499 90.00 90.00 120.00
Space group R-3m (No. 166, hexagonal axes)
Unique sites:
Ce1 0.0000 0.0000 0.0938 (multiplicity 6)
Pa1 0.0000 0.0000 0.0000 (multiplicity 3)
Os1 0.0000 0.0000 0.5000 (multiplicity 3)



Relative calculated energies, zero for the most stable structure, unit eV/atom: A 0.000; B 0.228.



--- A ---
# CePa2Os

A relaxed structure of CePa2Os (GGA-PBE, Alexandria).

Summary:
* crystal system: tetragonal
* density of states at the Fermi level: 1.681 states/eV/atom

Lattice parameters (Å, degrees): 3.581 3.581 7.305 90.00 90.00 90.00
Space group P4/mmm (No. 123)
Unique sites:
Ce1 0.000 0.000 0.000 (multiplicity 1)
Pa1 0.500 0.500 0.295 (multiplicity 2)
Os1 0.000 0.000 0.500 (multiplicity 1)



--- B ---
# CePa2Os

A relaxed structure of CePa2Os (GGA-PBE, Alexandria).

Summary:
* crystal system: tetragonal
* density of states at the Fermi level: 2.016 states/eV/atom

Lattice parameters (Å, degrees): 5.168 5.168 3.236 90.00 90.00 90.00
Space group P4/mmm (No. 123)
Unique sites:
Ce1 0.000 0.000 0.000 (multiplicity 1)
Pa1 0.000 0.500 0.500 (multiplicity 2)
Os1 0.500 0.500 0.000 (multiplicity 1)



--- C ---
# CePa2Os

A relaxed structure of CePa2Os (GGA-PBE, Alexandria).

Summary:
* crystal system: trigonal
* density of states at the Fermi level: 2.439 states/eV/atom

Lattice parameters (Å, degrees): 4.2472 4.2472 17.8548 90.00 90.00 120.00
Space group R-3m (No. 166, hexagonal axes)
Unique sites:
Ce1 0.0000 0.0000 0.0000 (multiplicity 3)
Pa1 0.0000 0.0000 0.2421 (multiplicity 6)
Os1 0.0000 0.0000 0.5000 (multiplicity 3)



--- D ---
# CePa2Os

A relaxed structure of CePa2Os (GGA-PBE, Alexandria).

Summary:
* crystal system: cubic
* density of states at the Fermi level: 3.098 states/eV/atom

Lattice parameters (Å, degrees): 7.034 7.034 7.034 90.00 90.00 90.00
Space group Fm-3m (No. 225)
Unique sites:
Ce1 0.000 0.000 0.000 (multiplicity 4)
Pa1 0.250 0.250 0.250 (multiplicity 8)
Os1 0.000 0.000 0.500 (multiplicity 4)



Relative calculated energies, zero for the most stable structure, unit eV/atom: A 0.000; B 0.035; C 0.137; D 0.114.



--- A ---
# Ce3OsPb

A relaxed structure of Ce3OsPb (GGA-PBE, Alexandria).

Summary:
* crystal system: monoclinic
* density of states at the Fermi level: 2.768 states/eV/atom

Lattice parameters (Å, degrees): 8.607 8.778 7.858 90.00 111.20 90.00
Space group P2_1/c (No. 14)
Unique sites:
Ce1 0.005 0.054 0.330 (multiplicity 4)
Ce2 0.258 0.112 0.079 (multiplicity 4)
Ce3 0.338 0.720 0.933 (multiplicity 4)
Os1 0.088 0.656 0.560 (multiplicity 4)
Pb1 0.378 0.053 0.726 (multiplicity 4)



--- B ---
# Ce3OsPb

A relaxed structure of Ce3OsPb (GGA-PBE, Alexandria).

Summary:
* crystal system: cubic
* density of states at the Fermi level: 3.343 states/eV/atom

Lattice parameters (Å, degrees): 5.395 5.395 5.395 90.00 90.00 90.00
Space group Pm-3m (No. 221)
Unique sites:
Ce1 0.000 0.000 0.500 (multiplicity 3)
Os1 0.000 0.000 0.000 (multiplicity 1)
Pb1 0.500 0.500 0.500 (multiplicity 1)



Relative calculated energies, zero for the most stable structure, unit eV/atom: A 0.000; B 0.059.



--- A ---
# Ce4OsPb

A relaxed structure of Ce4OsPb (GGA-PBE, Alexandria).

Summary:
* crystal system: orthorhombic
* density of states at the Fermi level: 3.030 states/eV/atom

Lattice parameters (Å, degrees): 5.936 7.317 15.190 90.00 90.00 90.00
Space group Immm (No. 71)
Unique sites:
Ce1 0.000 0.000 0.184 (multiplicity 4)
Ce2 0.000 0.241 0.382 (multiplicity 8)
Ce3 0.000 0.311 0.000 (multiplicity 4)
Os1 0.246 0.500 0.500 (multiplicity 4)
Pb1 0.000 0.500 0.199 (multiplicity 4)



--- B ---
# Ce4OsPb

A relaxed structure of Ce4OsPb (GGA-PBE, Alexandria).

Summary:
* crystal system: monoclinic
* density of states at the Fermi level: 2.590 states/eV/atom

Lattice parameters (Å, degrees): 8.227 14.113 5.882 90.00 110.50 90.00
Space group C2/c (No. 15)
Unique sites:
Ce1 0.088 0.188 0.090 (multiplicity 8)
Ce2 0.219 0.423 0.347 (multiplicity 8)
Os1 0.000 0.016 0.750 (multiplicity 4)
Pb1 0.000 0.378 0.750 (multiplicity 4)



Relative calculated energies, zero for the most stable structure, unit eV/atom: A 0.000; B 0.018.



--- A ---
# Ce2OsPb

A relaxed structure of Ce2OsPb (GGA-PBE, Alexandria).

Summary:
* crystal system: tetragonal
* density of states at the Fermi level: 1.600 states/eV/atom

Lattice parameters (Å, degrees): 3.303 3.303 8.934 90.00 90.00 90.00
Space group P4/mmm (No. 123)
Unique sites:
Ce1 0.000 0.000 0.206 (multiplicity 2)
Os1 0.500 0.500 0.000 (multiplicity 1)
Pb1 0.500 0.500 0.500 (multiplicity 1)



--- B ---
# Ce2OsPb

A relaxed structure of Ce2OsPb (GGA-PBE, Alexandria).

Summary:
* crystal system: trigonal
* density of states at the Fermi level: 1.777 states/eV/atom

Lattice parameters (Å, degrees): 3.9691 3.9691 25.0940 90.00 90.00 120.00
Space group R3m (No. 160, hexagonal axes)
Unique sites:
Ce1 0.0000 0.0000 0.0000 (multiplicity 3)
Ce2 0.0000 0.0000 0.2086 (multiplicity 3)
Os1 0.0000 0.0000 0.6032 (multiplicity 3)
Pb1 0.0000 0.0000 0.7716 (multiplicity 3)



--- C ---
# Ce2OsPb

A relaxed structure of Ce2OsPb (GGA-PBE, Alexandria).

Summary:
* crystal system: monoclinic
* density of states at the Fermi level: 1.702 states/eV/atom

Lattice parameters (Å, degrees): 9.911 14.930 7.053 90.00 124.67 90.00
Space group C2/c (No. 15)
Unique sites:
Ce1 0.177 0.048 0.230 (multiplicity 8)
Ce2 0.202 0.212 0.706 (multiplicity 8)
Os1 0.000 0.087 0.750 (multiplicity 4)
Os2 0.000 0.197 0.250 (multiplicity 4)
Pb1 0.000 0.379 0.750 (multiplicity 4)
Pb2 0.000 0.401 0.250 (multiplicity 4)



--- D ---
# Ce2OsPb

A relaxed structure of Ce2OsPb (GGA-PBE, Alexandria).

Summary:
* crystal system: trigonal
* density of states at the Fermi level: 1.619 states/eV/atom

Lattice parameters (Å, degrees): 3.9917 3.9917 24.4980 90.00 90.00 120.00
Space group R-3m (No. 166, hexagonal axes)
Unique sites:
Ce1 0.0000 0.0000 0.2303 (multiplicity 6)
Os1 0.0000 0.0000 0.5000 (multiplicity 3)
Pb1 0.0000 0.0000 0.0000 (multiplicity 3)



Relative calculated energies, zero for the most stable structure, unit eV/atom: A 0.000; B 0.130; C 0.089; D 0.104.



--- A ---
# Ce6Os2Pb

A relaxed structure of Ce6Os2Pb (GGA-PBE, Alexandria).

Summary:
* crystal system: monoclinic
* density of states at the Fermi level: 2.075 states/eV/atom

Lattice parameters (Å, degrees): 10.720 4.677 9.078 90.00 92.36 90.00
Space group C2/m (No. 12)
Unique sites:
Ce1 0.075 0.000 0.366 (multiplicity 4)
Ce2 0.097 0.500 0.673 (multiplicity 4)
Ce3 0.211 0.500 0.105 (multiplicity 4)
Os1 0.242 0.500 0.386 (multiplicity 4)
Pb1 0.000 0.000 0.000 (multiplicity 2)



--- B ---
# Ce6Os2Pb

A relaxed structure of Ce6Os2Pb (GGA-PBE, Alexandria).

Summary:
* crystal system: monoclinic
* density of states at the Fermi level: 2.153 states/eV/atom

Lattice parameters (Å, degrees): 15.511 8.939 7.650 90.00 117.60 90.00
Space group C2/c (No. 15)
Unique sites:
Ce1 0.092 0.125 0.225 (multiplicity 8)
Ce2 0.150 0.484 0.015 (multiplicity 8)
Ce3 0.173 0.208 0.617 (multiplicity 8)
Os1 0.204 0.120 0.042 (multiplicity 8)
Pb1 0.000 0.220 0.750 (multiplicity 4)



Relative calculated energies, zero for the most stable structure, unit eV/atom: A 0.000; B 0.145.



--- A ---
# Ce5OsPb

A relaxed structure of Ce5OsPb (GGA-PBE, Alexandria).

Summary:
* crystal system: tetragonal
* density of states at the Fermi level: 2.471 states/eV/atom

Lattice parameters (Å, degrees): 4.928 4.928 7.845 90.00 90.00 90.00
Space group P4/mmm (No. 123)
Unique sites:
Ce1 0.000 0.000 0.000 (multiplicity 1)
Ce2 0.000 0.500 0.296 (multiplicity 4)
Os1 0.000 0.000 0.500 (multiplicity 1)
Pb1 0.500 0.500 0.000 (multiplicity 1)



--- B ---
# Ce5OsPb

A relaxed structure of Ce5OsPb (GGA-PBE, Alexandria).

Summary:
* crystal system: monoclinic
* density of states at the Fermi level: 2.813 states/eV/atom

Lattice parameters (Å, degrees): 10.866 6.915 11.022 90.00 113.60 90.00
Space group C2/c (No. 15)
Unique sites:
Ce1 0.000 0.039 0.250 (multiplicity 4)
Ce2 0.152 0.344 0.070 (multiplicity 8)
Ce3 0.211 0.226 0.650 (multiplicity 8)
Os1 0.000 0.000 0.000 (multiplicity 4)
Pb1 0.000 0.465 0.750 (multiplicity 4)



Relative calculated energies, zero for the most stable structure, unit eV/atom: A 0.000; B 0.095.



--- A ---
# CePmOs

A relaxed structure of CePmOs (GGA-PBE, Alexandria).

Summary:
* crystal system: triclinic
* density of states at the Fermi level: 1.451 states/eV/atom

Lattice parameters (Å, degrees): 4.158 4.972 7.480 91.49 90.04 90.15
Space group P-1 (No. 2)
Unique sites:
Ce1 0.249 0.232 0.479 (multiplicity 2)
Pm1 0.250 0.745 0.125 (multiplicity 2)
Os1 0.252 0.651 0.738 (multiplicity 2)



--- B ---
# CePmOs

A relaxed structure of CePmOs (GGA-PBE, Alexandria).

Summary:
* crystal system: monoclinic
* density of states at the Fermi level: 1.335 states/eV/atom

Lattice parameters (Å, degrees): 14.316 4.123 5.818 90.00 98.62 90.00
Space group C2/m (No. 12)
Unique sites:
Ce1 0.169 0.000 0.305 (multiplicity 4)
Pm1 0.085 0.500 0.787 (multiplicity 4)
Os1 0.227 0.000 0.814 (multiplicity 4)



Relative calculated energies, zero for the most stable structure, unit eV/atom: A 0.013; B 0.000.